[1]
The following is a DFT calculation (PBE-GGA) of a relaxed structure of Pa2In.

Cell: 5.5089 5.5089 5.5089 Å, 136.09 136.09 63.85°
Fractional positions:
Pa 0.1487 0.1487 0.0000
Pa 0.8513 0.8513 0.0000
In 0.5000 0.5000 0.0000

Output
Offset from the most stable computed form = 0.1504 eV/atom
Total moment = 1.623 μB/f.u.
Calculated total energy = -21.2 eV/cell
D(E_F) = 6.49 states/eV per cell
Space group = I4/mmm, No. 139

***

[2]
The following is a DFT calculation (PBE-GGA) of a relaxed structure of BaMo2Se.

Cell: 4.1373 4.1373 5.3706 Å, 90.00 90.00 90.00°
Fractional positions:
Ba 0.0000 0.0000 0.0000
Mo 0.0000 0.5000 0.5000
Mo 0.5000 0.0000 0.5000
Se 0.5000 0.5000 0.0000

Output
Total moment = 0.460 μB/f.u.
Calculated total energy = -23.3 eV/cell
D(E_F) = 5.59 states/eV per cell
Uncorrected formation energy = 0.95 eV/atom
Space group = P4/mmm, No. 123

***

[3]
The following is a DFT calculation (PBE-GGA) of a relaxed structure of TaTlH3.

Cell: 3.7889 3.7889 3.7889 Å, 90.00 90.00 90.00°
Fractional positions:
Ta 0.0000 0.0000 0.0000
Tl 0.5000 0.5000 0.5000
H 0.0000 0.0000 0.5000
H 0.0000 0.5000 0.0000
H 0.5000 0.0000 0.0000

Output
Offset from the most stable computed form = 0.0000 eV/atom
Total moment = 0.000 μB/f.u.
Calculated total energy = -22.6 eV/cell
D(E_F) = 2.05 states/eV per cell
Space group = Pm-3m, No. 221

***

[4]
The following is a DFT calculation (PBE-GGA) of a relaxed structure of MgIrOs.

Cell: 4.7225 4.7225 4.7225 Å, 145.69 130.49 61.62°
Fractional positions:
Mg 0.0000 0.0000 0.0000
Ir 0.3315 0.3315 0.0000
Os 0.6701 0.6701 0.0000

Output
Offset from the most stable computed form = 0.1547 eV/atom
Total moment = 0.000 μB/f.u.
Calculated total energy = -21.4 eV/cell
D(E_F) = 2.21 states/eV per cell
Space group = Imm2, No. 44

***

[5]
The following is a DFT calculation (PBE-GGA) of a relaxed structure of SrBrN2O.

Cell: 3.9807 3.9807 4.2927 Å, 90.00 90.00 90.00°
Fractional positions:
Sr 0.0000 0.0000 0.0000
Br 0.5000 0.5000 0.5000
N 0.0000 0.5000 0.5000
N 0.5000 0.0000 0.5000
O 0.5000 0.5000 0.0000

Output
Total moment = 0.557 μB/f.u.
Calculated total energy = -21.4 eV/cell
D(E_F) = 2.19 states/eV per cell
Uncorrected formation energy = 0.71 eV/atom
Space group = P4/mmm, No. 123

***

[6]
The following is a DFT calculation (PBE-GGA) of a relaxed structure of PmMg2GeN4.

Cell: 7.2135 5.9026 5.3497 Å, 90.00 90.00 90.00°
Fractional positions:
Pm 0.0000 0.1647 0.0000
Pm 0.5000 0.8353 0.5000
Mg 0.2483 0.3330 0.5133
Mg 0.2517 0.6670 0.0133
Mg 0.7483 0.6670 0.0133
Mg 0.7517 0.3330 0.5133
Ge 0.0000 0.8173 0.5274
Ge 0.5000 0.1827 0.0274
N 0.0000 0.1359 0.4571
N 0.0000 0.7903 0.8775
N 0.2128 0.6724 0.4064
N 0.2872 0.3276 0.9064
N 0.5000 0.2097 0.3775
N 0.5000 0.8641 0.9571
N 0.7128 0.3276 0.9064
N 0.7872 0.6724 0.4064

Output
Total moment = 1.060 μB/f.u.
Calculated total energy = -101.4 eV/cell
D(E_F) = 8.06 states/eV per cell
Uncorrected formation energy = -0.60 eV/atom
Space group = Pmn2_1, No. 31